Computed, not measured: a relaxed LiNdMg2Au4 crystal at the PBE level of DFT.

Results
Formation energy from the elements: -62.8 kJ per mole of atoms
Space group: No. 166
Volume: 20.00 Å³ per atom
DOS at the Fermi energy: 3.122 states/eV/cell
Total magnetization: 0.0000 μB per atom
Crystal system: trigonal

abc: 8.8913 8.8913 8.8913
angles: 30.45 30.45 30.45
Closest atoms and distances in Å follow each position.
Element x y z (fractional)
Li  0.0000  0.0000  0.0000  8 Au 2.64-2.88
Nd  0.5000  0.5000  0.5000  8 Au 3.14-3.22
Mg  0.2618  0.2618  0.2618  7 Au 2.81-2.84
Mg  0.7382  0.7382  0.7382  7 Au 2.81-2.84
Au  0.1037  0.1037  0.1037  1 Li 2.64, 3 Mg 2.82
Au  0.3735  0.3735  0.3735  4 Mg 2.81-2.84, 3 Li 2.88, 3 Au 3.14
Au  0.6265  0.6265  0.6265  4 Mg 2.81-2.84, 3 Li 2.88, 3 Au 3.14
Au  0.8963  0.8963  0.8963  1 Li 2.64, 3 Mg 2.82



Computed, not measured: a relaxed BeAgSnC2 crystal at the PBE level of DFT.

Results
Formation energy from the elements: 241.6 kJ per mole of atoms
Space group: No. 123
Volume: 18.75 Å³ per atom
DOS at the Fermi energy: 2.747 states/eV/cell
Total magnetization: 0.0002 μB per atom
Crystal system: tetragonal

abc: 3.9983 3.9983 5.8658
angles: 90.00 90.00 90.00
Closest atoms and distances in Å follow each position.
Element x y z (fractional)
Be  0.0000  0.0000  0.0000  4 Sn 2.83
Ag  0.5000  0.5000  0.5000  4 C 2.00
Sn  0.5000  0.5000  0.0000  4 Be 2.83, 2 Ag 2.93
C  0.0000  0.5000  0.5000  2 Ag 2.00
C  0.5000  0.0000  0.5000  2 Ag 2.00



Computed, not measured: a relaxed NaBi4Au4 crystal at the PBE level of DFT.

Results
Formation energy from the elements: -6.0 kJ per mole of atoms
Space group: No. 86
Volume: 29.11 Å³ per atom
DOS at the Fermi energy: 10.669 states/eV/cell
Offset from the most stable computed form: 8 meV per atom
Total magnetization: 0.0000 μB per atom
Crystal system: tetragonal

abc: 9.3678 9.3678 5.9706
angles: 90.00 90.00 90.00
Closest atoms and distances in Å follow each position.
Element x y z (fractional)
Na  0.2500  0.2500  0.2500  4 Bi 3.47, 4 Au 3.77
Na  0.7500  0.7500  0.7500  4 Bi 3.47, 4 Au 3.77
Bi  0.0911  0.8733  0.6336  5 Au 2.84-3.12
Bi  0.1267  0.5911  0.1336  5 Au 2.84-3.12
Bi  0.3733  0.9089  0.1336  5 Au 2.84-3.12
Bi  0.4089  0.6267  0.6336  5 Au 2.84-3.12
Bi  0.5911  0.3733  0.3664  5 Au 2.84-3.12
Bi  0.6267  0.0911  0.8664  5 Au 2.84-3.12
Bi  0.8733  0.4089  0.8664  5 Au 2.84-3.12
Bi  0.9089  0.1267  0.3664  5 Au 2.84-3.12
Au  0.0410  0.8821  0.1345  1 Au 2.84, 5 Bi 2.84-3.12
Au  0.1179  0.5410  0.6345  1 Au 2.84, 5 Bi 2.84-3.12
Au  0.3821  0.9590  0.6345  1 Au 2.84, 5 Bi 2.84-3.12
Au  0.4590  0.6179  0.1345  1 Au 2.84, 5 Bi 2.84-3.12
Au  0.5410  0.3821  0.8655  1 Au 2.84, 5 Bi 2.84-3.12
Au  0.6179  0.0410  0.3655  1 Au 2.84, 5 Bi 2.84-3.12
Au  0.8821  0.4590  0.3655  1 Au 2.84, 5 Bi 2.84-3.12
Au  0.9590  0.1179  0.8655  1 Au 2.84, 5 Bi 2.84-3.12



Computed, not measured: a relaxed NaNi3Ge3 crystal at the PBE level of DFT.

Results
Formation energy from the elements: 4.6 kJ per mole of atoms
Space group: No. 223
Volume: 19.83 Å³ per atom
DOS at the Fermi energy: 6.526 states/eV/cell
Total magnetization: 0.0000 μB per atom
Crystal system: cubic

abc: 6.5238 6.5238 6.5238
angles: 90.00 90.00 90.00
Closest atoms and distances in Å follow each position.
Element x y z (fractional)
Na  0.0000  0.0000  0.0000  12 Ge 3.65, 12 Ni 3.65
Na  0.5000  0.5000  0.5000  12 Ge 3.65, 12 Ni 3.65
Ni  0.0000  0.2500  0.5000  4 Ge 2.31
Ni  0.0000  0.7500  0.5000  4 Ge 2.31
Ni  0.2500  0.5000  0.0000  4 Ge 2.31
Ni  0.5000  0.0000  0.2500  4 Ge 2.31
Ni  0.5000  0.0000  0.7500  4 Ge 2.31
Ni  0.7500  0.5000  0.0000  4 Ge 2.31
Ge  0.0000  0.5000  0.2500  4 Ni 2.31
Ge  0.0000  0.5000  0.7500  4 Ni 2.31
Ge  0.2500  0.0000  0.5000  4 Ni 2.31
Ge  0.5000  0.2500  0.0000  4 Ni 2.31
Ge  0.5000  0.7500  0.0000  4 Ni 2.31
Ge  0.7500  0.0000  0.5000  4 Ni 2.31



Computed, not measured: a relaxed Ac6MgSi2 crystal at the PBE level of DFT.

Results
Space group: No. 71
Formation energy from raw total energies: -277 meV/atom
Volume: 36.26 Å³ per atom
DOS at the Fermi energy: 19.179 states/eV/cell
Total magnetization: 0.0000 μB per atom
Crystal system: orthorhombic

abc: 9.4686 9.4686 9.4686
angles: 111.26 109.90 107.27
Closest atoms and distances in Å follow each position.
Element x y z (fractional)
Ac  0.0465  0.2468  0.7997  1 Si 3.17, 1 Mg 3.52
Ac  0.1762  0.2763  0.4525  3 Si 3.30-3.46, 1 Mg 3.52
Ac  0.1762  0.7237  0.9000  3 Si 3.30-3.46, 1 Mg 3.52
Ac  0.3269  0.0202  0.6933  3 Si 3.21-3.32
Ac  0.3269  0.6336  0.3067  3 Si 3.21-3.32
Ac  0.4471  0.2468  0.2003  1 Si 3.17, 1 Mg 3.52
Ac  0.5529  0.7532  0.7997  1 Si 3.17, 1 Mg 3.52
Ac  0.6731  0.3664  0.6933  3 Si 3.21-3.32
Ac  0.6731  0.9798  0.3067  3 Si 3.21-3.32
Ac  0.8238  0.2763  0.1000  3 Si 3.30-3.46, 1 Mg 3.52
Ac  0.8238  0.7237  0.5475  3 Si 3.30-3.46, 1 Mg 3.52
Ac  0.9535  0.7532  0.2003  1 Si 3.17, 1 Mg 3.52
Mg  0.0000  0.0000  0.0000  8 Ac 3.52, 2 Si 3.71
Mg  0.5000  0.5000  0.0000  8 Ac 3.58-3.81
Si  0.1081  0.6081  0.5000  1 Si 2.43
Si  0.3411  0.0000  0.3411  8 Ac 3.17-3.46, 1 Si 3.46
Si  0.6589  0.0000  0.6589  8 Ac 3.17-3.46, 1 Si 3.46
Si  0.8919  0.3919  0.5000  1 Si 2.43



Computed, not measured: a relaxed TbNd4Dy2Th crystal at the PBE level of DFT.

Results
Formation energy from the elements: 3.0 kJ per mole of atoms
Space group: No. 123
Volume: 33.53 Å³ per atom
DOS at the Fermi energy: 11.373 states/eV/cell
Total magnetization: 0.0000 μB per atom
Crystal system: tetragonal

abc: 5.1135 5.1135 10.2588
angles: 90.00 90.00 90.00
Closest atoms and distances in Å follow each position.
Element x y z (fractional)
Tb  0.0000  0.0000  0.0000  4 Dy 3.62, 8 Nd 3.63
Nd  0.0000  0.5000  0.2517  2 Th 3.61, 4 Dy 3.61-3.63, 4 Nd 3.62, 2 Tb 3.63
Nd  0.0000  0.5000  0.7483  2 Th 3.61, 4 Dy 3.61-3.63, 4 Nd 3.62, 2 Tb 3.63
Nd  0.5000  0.0000  0.2517  2 Th 3.61, 4 Dy 3.61-3.63, 4 Nd 3.62, 2 Tb 3.63
Nd  0.5000  0.0000  0.7483  2 Th 3.61, 4 Dy 3.61-3.63, 4 Nd 3.62, 2 Tb 3.63
Dy  0.0000  0.0000  0.5000  8 Nd 3.61, 4 Th 3.62
Dy  0.5000  0.5000  0.0000  4 Tb 3.62, 8 Nd 3.63
Th  0.5000  0.5000  0.5000  8 Nd 3.61, 4 Dy 3.62



Computed, not measured: a relaxed CdTeW2 crystal at the PBE level of DFT.

Results
Space group: No. 35
Formation energy from raw total energies: 538 meV/atom
Volume: 21.26 Å³ per atom
DOS at the Fermi energy: 6.622 states/eV/cell
Offset from the most stable computed form: 105 meV per atom
Total magnetization: 0.0000 μB per atom
Crystal system: orthorhombic

abc: 3.2750 4.9275 10.5397
angles: 90.00 90.00 90.00
Closest atoms and distances in Å follow each position.
Element x y z (fractional)
Cd  0.0000  0.0000  0.0000  6 Cd 2.96-3.27, 2 W 3.00
Cd  0.5000  0.5000  0.0000  6 Cd 2.96-3.27, 2 W 3.00
Te  0.0000  0.5000  0.6585  2 W 2.94, 6 Te 2.96-3.27
Te  0.5000  0.0000  0.6585  2 W 2.94, 6 Te 2.96-3.27
W  0.0000  0.0000  0.4268  2 W 2.58
W  0.0000  0.5000  0.2381  2 W 2.58
W  0.5000  0.0000  0.2381  2 W 2.58
W  0.5000  0.5000  0.4268  2 W 2.58



Computed, not measured: a relaxed CsZnSCl2 crystal at the PBE level of DFT.

Results
Space group: No. 123
Formation energy from raw total energies: 312 meV/atom
Volume: 46.86 Å³ per atom
DOS at the Fermi energy: 9.651 states/eV/cell
Offset from the most stable computed form: 1231 meV per atom
Total magnetization: 0.4109 μB per atom
Crystal system: tetragonal

abc: 6.4084 6.4084 5.7056
angles: 90.00 90.00 90.00
Closest atoms and distances in Å follow each position.
Element x y z (fractional)
Cs  0.0000  0.0000  0.0000  2 S 2.85
Zn  0.5000  0.5000  0.5000  8 Cl 4.29, 4 S 4.53
S  0.0000  0.0000  0.5000  2 Cs 2.85
Cl  0.0000  0.5000  0.0000  2 Cs 3.20
Cl  0.5000  0.0000  0.0000  2 Cs 3.20



Computed, not measured: a relaxed CaHgRh crystal at the PBE level of DFT.

Results
Formation energy from the elements: -24.5 kJ per mole of atoms
Space group: No. 107
Volume: 21.34 Å³ per atom
DOS at the Fermi energy: 3.308 states/eV/cell
Total magnetization: 0.0000 μB per atom
Crystal system: tetragonal

abc: 3.4461 3.4461 10.7817
angles: 90.00 90.00 90.00
Closest atoms and distances in Å follow each position.
Element x y z (fractional)
Ca  0.0000  0.0000  0.0000  4 Rh 2.98, 5 Hg 3.22-3.27
Ca  0.5000  0.5000  0.5000  4 Rh 2.98, 5 Hg 3.22-3.27
Hg  0.0000  0.0000  0.7018  4 Rh 2.86
Hg  0.5000  0.5000  0.2018  4 Rh 2.86
Rh  0.0000  0.0000  0.3403  4 Hg 2.86, 4 Ca 2.98
Rh  0.5000  0.5000  0.8403  4 Hg 2.86, 4 Ca 2.98



Computed, not measured: a relaxed TbErSeO2 crystal at the PBE level of DFT.

Results
Space group: No. 11
Formation energy from raw total energies: -3124 meV/atom
Volume: 18.72 Å³ per atom
DOS at the Fermi energy: 0.000 states/eV/cell
Total magnetization: 0.0000 μB per atom
Crystal system: monoclinic

abc: 6.4658 4.0043 7.5728
angles: 90.00 107.29 90.00
Closest atoms and distances in Å follow each position.
Element x y z (fractional)
Tb  0.1828  0.2500  0.4252  4 O 2.24-2.30
Tb  0.8172  0.7500  0.5748  4 O 2.24-2.30
Er  0.1748  0.2500  0.9167  4 O 2.20-2.24
Er  0.8252  0.7500  0.0833  4 O 2.20-2.24
Se  0.4542  0.7500  0.7422  3 Er 2.96-3.23, 3 Tb 2.98-3.22
Se  0.5458  0.2500  0.2578  3 Er 2.96-3.23, 3 Tb 2.98-3.22
O  0.0127  0.7500  0.8824  3 Er 2.21-2.24, 1 Tb 2.30
O  0.0196  0.7500  0.3756  1 Er 2.20, 3 Tb 2.24-2.27
O  0.9804  0.2500  0.6244  1 Er 2.20, 3 Tb 2.24-2.27
O  0.9873  0.2500  0.1176  3 Er 2.21-2.24, 1 Tb 2.30



Computed, not measured: a relaxed TbDy8Ga6 crystal at the PBE level of DFT.

Results
Formation energy from the elements: -35.1 kJ per mole of atoms
Space group: No. 148
Volume: 26.52 Å³ per atom
DOS at the Fermi energy: 19.110 states/eV/cell
Total magnetization: 0.0000 μB per atom
Crystal system: trigonal

abc: 7.9252 7.9252 7.9252
angles: 66.01 66.01 66.01
Closest atoms and distances in Å follow each position.
Element x y z (fractional)
Tb  0.0000  0.0000  0.0000  6 Ga 3.08
Dy  0.1116  0.7781  0.4457  5 Ga 3.00-3.16
Dy  0.2219  0.5543  0.8884  5 Ga 3.00-3.16
Dy  0.3332  0.3332  0.3332  6 Ga 3.08
Dy  0.4457  0.1116  0.7781  5 Ga 3.00-3.16
Dy  0.5543  0.8884  0.2219  5 Ga 3.00-3.16
Dy  0.6668  0.6668  0.6668  6 Ga 3.08
Dy  0.7781  0.4457  0.1116  5 Ga 3.00-3.16
Dy  0.8884  0.2219  0.5543  5 Ga 3.00-3.16
Ga  0.0591  0.3927  0.7251  7 Dy 3.00-3.16, 1 Tb 3.08
Ga  0.2749  0.9409  0.6073  7 Dy 3.00-3.16, 1 Tb 3.08
Ga  0.3927  0.7251  0.0591  7 Dy 3.00-3.16, 1 Tb 3.08
Ga  0.6073  0.2749  0.9409  7 Dy 3.00-3.16, 1 Tb 3.08
Ga  0.7251  0.0591  0.3927  7 Dy 3.00-3.16, 1 Tb 3.08
Ga  0.9409  0.6073  0.2749  7 Dy 3.00-3.16, 1 Tb 3.08



Computed, not measured: a relaxed CuAs3S crystal at the PBE level of DFT.

Results
Space group: No. 221
Formation energy from raw total energies: 955 meV/atom
Volume: 21.74 Å³ per atom
DOS at the Fermi energy: 4.943 states/eV/cell
Offset from the most stable computed form: 124 meV per atom
Total magnetization: 0.0000 μB per atom
Crystal system: cubic

abc: 4.7726 4.7726 4.7726
angles: 90.00 90.00 90.00
Closest atoms and distances in Å follow each position.
Element x y z (fractional)
Cu  0.0000  0.0000  0.0000  12 As 3.37
As  0.0000  0.5000  0.5000  2 S 2.39
As  0.5000  0.0000  0.5000  2 S 2.39
As  0.5000  0.5000  0.0000  2 S 2.39
S  0.5000  0.5000  0.5000  6 As 2.39



- Which formula does entry 4 have?
  NaNi3Ge3



- Number 8 is which compound?
  CsZnSCl2



- Which value of volume does entry 12 give?
  21.74 Å³ per atom



- The lowest DOS at the Fermi energy belongs to which entry?
  TbErSeO2